(1)
{
  "formula": "ThCdPb2",
  "functional": "PBE",
  "state": "relaxed",
  "formation_enthalpy_0k_kj_per_mol_fu": -95,
  "de_polymorph_ev_per_atom": 0.000,
  "total_energy_ev_per_atom": -4.184,
  "dos_ef_per_ev_fu": 2.39,
  "lattice_angstrom": [[4.9553, 0.0000, 0.0000], [0.0000, 4.9553, 0.0000], [0.0000, 0.0000, 4.5928]],
  "species": ["Th", "Cd", "Pb", "Pb"],
  "fractional_positions": [[0.0000, 0.0000, 0.0000], [0.5000, 0.5000, 0.0000], [0.0000, 0.5000, 0.5000], [0.5000, 0.0000, 0.5000]]
}

***

(2)
{
  "formula": "ThCd2Pb",
  "functional": "PBE",
  "state": "relaxed",
  "formation_enthalpy_0k_kj_per_mol_fu": -84,
  "de_polymorph_ev_per_atom": 0.000,
  "total_energy_ev_per_atom": -3.457,
  "dos_ef_per_ev_fu": 2.46,
  "lattice_angstrom": [[4.6620, 0.0000, 0.0000], [0.0000, 4.6620, 0.0000], [0.0000, 0.0000, 4.9660]],
  "species": ["Th", "Cd", "Cd", "Pb"],
  "fractional_positions": [[0.0000, 0.0000, 0.0000], [0.0000, 0.5000, 0.5000], [0.5000, 0.0000, 0.5000], [0.5000, 0.5000, 0.0000]]
}

***

(3)
{
  "formula": "ThCdPb2",
  "functional": "PBE",
  "state": "relaxed",
  "formation_enthalpy_0k_kj_per_mol_fu": 72,
  "de_polymorph_ev_per_atom": 0.433,
  "total_energy_ev_per_atom": -3.751,
  "dos_ef_per_ev_fu": 3.64,
  "lattice_angstrom": [[1.7621, 1.0174, 11.4881], [-1.7621, 1.0174, 11.4881], [0.0000, -2.0347, 11.4881]],
  "species": ["Th", "Cd", "Pb", "Pb"],
  "fractional_positions": [[0.0000, 0.0000, 0.0000], [0.5000, 0.5000, 0.5000], [0.0948, 0.0948, 0.0948], [0.9052, 0.9052, 0.9052]]
}

***

(4)
{
  "formula": "Th2CdPb5",
  "functional": "PBE",
  "state": "relaxed",
  "formation_enthalpy_0k_kj_per_mol_fu": -190,
  "total_energy_ev_per_atom": -4.533,
  "dos_ef_per_ev_fu": 5.54,
  "lattice_angstrom": [[6.8387, 0.0000, 0.0000], [0.0000, 13.6854, 0.0000], [0.0000, 0.0000, 4.9363]],
  "species": ["Th", "Th", "Th", "Th", "Cd", "Cd", "Pb", "Pb", "Pb", "Pb", "Pb", "Pb", "Pb", "Pb", "Pb", "Pb"],
  "fractional_positions": [[0.2265, 0.1319, 0.0000], [0.2735, 0.6319, 0.0000], [0.7265, 0.3681, 0.0000], [0.7735, 0.8681, 0.0000], [0.0000, 0.5000, 0.5000], [0.5000, 0.0000, 0.5000], [0.0000, 0.0000, 0.5000], [0.0178, 0.7446, 0.5000], [0.2285, 0.3833, 0.0000], [0.2715, 0.8833, 0.0000], [0.4822, 0.2446, 0.5000], [0.5000, 0.5000, 0.5000], [0.5178, 0.7554, 0.5000], [0.7285, 0.1167, 0.0000], [0.7715, 0.6167, 0.0000], [0.9822, 0.2554, 0.5000]]
}

***

(5)
{
  "formula": "ThCd2Pb",
  "functional": "PBE",
  "state": "relaxed",
  "formation_enthalpy_0k_kj_per_mol_fu": 4,
  "de_polymorph_ev_per_atom": 0.227,
  "total_energy_ev_per_atom": -3.230,
  "dos_ef_per_ev_fu": 1.85,
  "lattice_angstrom": [[0.0000, 3.7894, 3.7894], [3.7894, 0.0000, 3.7894], [3.7894, 3.7894, 0.0000]],
  "species": ["Th", "Cd", "Cd", "Pb"],
  "fractional_positions": [[0.0000, 0.0000, 0.0000], [0.2500, 0.2500, 0.2500], [0.7500, 0.7500, 0.7500], [0.5000, 0.5000, 0.5000]]
}

***

(6)
{
  "formula": "ThCd17Pb",
  "functional": "PBE",
  "state": "relaxed",
  "formation_enthalpy_0k_kj_per_mol_fu": -39,
  "total_energy_ev_per_atom": -1.426,
  "dos_ef_per_ev_fu": 7.22,
  "lattice_angstrom": [[5.0847, 2.9356, 5.0490], [-5.0847, 2.9356, 5.0490], [0.0000, -5.8713, 5.0490]],
  "species": ["Th", "Cd", "Cd", "Cd", "Cd", "Cd", "Cd", "Cd", "Cd", "Cd", "Cd", "Cd", "Cd", "Cd", "Cd", "Cd", "Cd", "Cd", "Pb"],
  "fractional_positions": [[0.0000, 0.0000, 0.0000], [0.0132, 0.0132, 0.5381], [0.0132, 0.5381, 0.0132], [0.1847, 0.6548, 0.6548], [0.2981, 0.2981, 0.8456], [0.2981, 0.8456, 0.2981], [0.3662, 0.6665, 0.9699], [0.3662, 0.9699, 0.6665], [0.5381, 0.0132, 0.0132], [0.5739, 0.5739, 0.5739], [0.6548, 0.1847, 0.6548], [0.6548, 0.6548, 0.1847], [0.6665, 0.3662, 0.9699], [0.6665, 0.9699, 0.3662], [0.7716, 0.7716, 0.7716], [0.8456, 0.2981, 0.2981], [0.9699, 0.3662, 0.6665], [0.9699, 0.6665, 0.3662], [0.2770, 0.2770, 0.2770]]
}

***

(7)
{
  "formula": "TmThCdPb",
  "functional": "PBE",
  "state": "relaxed",
  "formation_enthalpy_0k_kj_per_mol_fu": -80,
  "total_energy_ev_per_atom": -4.335,
  "dos_ef_per_ev_fu": 4.06,
  "lattice_angstrom": [[0.0000, 3.8301, 3.8301], [3.8301, 0.0000, 3.8301], [3.8301, 3.8301, 0.0000]],
  "species": ["Tm", "Th", "Cd", "Pb"],
  "fractional_positions": [[0.0000, 0.0000, 0.0000], [0.5000, 0.5000, 0.5000], [0.7500, 0.7500, 0.7500], [0.2500, 0.2500, 0.2500]]
}

***

(8)
{
  "formula": "Ti2CdPb",
  "functional": "PBE",
  "state": "relaxed",
  "formation_enthalpy_0k_kj_per_mol_fu": 74,
  "total_energy_ev_per_atom": -4.911,
  "dos_ef_per_ev_fu": 3.80,
  "lattice_angstrom": [[1.5727, 0.9080, 9.6481], [-1.5727, 0.9080, 9.6481], [0.0000, -1.8161, 9.6481]],
  "species": ["Ti", "Ti", "Cd", "Pb"],
  "fractional_positions": [[0.2494, 0.2494, 0.2494], [0.7506, 0.7506, 0.7506], [0.5000, 0.5000, 0.5000], [0.0000, 0.0000, 0.0000]]
}

***

(9)
{
  "formula": "TiCdPb3",
  "functional": "PBE",
  "state": "relaxed",
  "formation_enthalpy_0k_kj_per_mol_fu": 477,
  "de_polymorph_ev_per_atom": 0.718,
  "total_energy_ev_per_atom": -2.999,
  "dos_ef_per_ev_fu": 9.93,
  "lattice_angstrom": [[5.5567, 0.0000, 0.0000], [0.0000, 5.5567, 0.0000], [0.0000, 0.0000, 5.5567]],
  "species": ["Ti", "Cd", "Pb", "Pb", "Pb"],
  "fractional_positions": [[0.0000, 0.0000, 0.0000], [0.5000, 0.5000, 0.5000], [0.0000, 0.5000, 0.5000], [0.5000, 0.0000, 0.5000], [0.5000, 0.5000, 0.0000]]
}

***

(10)
{
  "formula": "Ti2CdPb",
  "functional": "PBE",
  "state": "relaxed",
  "formation_enthalpy_0k_kj_per_mol_fu": 43,
  "total_energy_ev_per_atom": -4.992,
  "dos_ef_per_ev_fu": 3.05,
  "lattice_angstrom": [[3.6399, 0.0000, 0.0000], [0.0000, 3.6399, 0.0000], [0.0000, 0.0000, 6.0270]],
  "species": ["Ti", "Ti", "Cd", "Pb"],
  "fractional_positions": [[0.0000, 0.0000, 0.2423], [0.0000, 0.0000, 0.7577], [0.5000, 0.5000, 0.5000], [0.5000, 0.5000, 0.0000]]
}

***

(11)
{
  "formula": "TiCd2Pb",
  "functional": "PBE",
  "state": "relaxed",
  "formation_enthalpy_0k_kj_per_mol_fu": 32,
  "total_energy_ev_per_atom": -3.276,
  "dos_ef_per_ev_fu": 3.25,
  "lattice_angstrom": [[4.2908, 0.0000, 0.0000], [0.0000, 4.2908, 0.0000], [0.0000, 0.0000, 4.6989]],
  "species": ["Ti", "Cd", "Cd", "Pb"],
  "fractional_positions": [[0.0000, 0.0000, 0.0000], [0.0000, 0.5000, 0.5000], [0.5000, 0.0000, 0.5000], [0.5000, 0.5000, 0.0000]]
}

***

(12)
{
  "formula": "TiCd2Pb",
  "functional": "PBE",
  "state": "relaxed",
  "formation_enthalpy_0k_kj_per_mol_fu": 32,
  "total_energy_ev_per_atom": -3.276,
  "dos_ef_per_ev_fu": 1.89,
  "lattice_angstrom": [[3.1433, 0.0000, 0.0000], [0.0000, 3.1433, 0.0000], [0.0000, 0.0000, 9.4011]],
  "species": ["Ti", "Cd", "Cd", "Pb"],
  "fractional_positions": [[0.0000, 0.0000, 0.0000], [0.5000, 0.5000, 0.2123], [0.5000, 0.5000, 0.7877], [0.0000, 0.0000, 0.5000]]
}